# BeIr2Rh, relaxed, DFT GGA-PBE
# SG: Immm
# Total energy: -29.6 eV for the cell shown
# Calculated formation energy: -0.204 eV/atom
data_BeIr2Rh
_cell_length_a 5.0398
_cell_length_b 5.0398
_cell_length_c 4.3137
_cell_angle_alpha 64.72
_cell_angle_beta 64.72
_cell_angle_gamma 31.86
_space_group_name_H-M_alt 'P 1'
_space_group_IT_number 1
_space_group_name_Hall 'P 1'
loop_
_atom_site_label
_atom_site_type_symbol
_atom_site_fract_x
_atom_site_fract_y
_atom_site_fract_z
Be1 Be 0.2500 0.2500 0.2500
Ir1 Ir 0.9648 0.9648 0.0351
Ir2 Ir 0.5352 0.5352 0.4649
Rh1 Rh 0.7500 0.7500 0.7500

=====

# TbHo2ScRh4, relaxed, DFT GGA-PBE
# SG: R-3m
# Total energy: -56.8 eV for the cell shown
# Calculated formation energy: -0.906 eV/atom
data_TbHo2ScRh4
_cell_length_a 4.7664
_cell_length_b 4.7664
_cell_length_c 8.2881
_cell_angle_alpha 73.29
_cell_angle_beta 73.29
_cell_angle_gamma 60.00
_space_group_name_H-M_alt 'P 1'
_space_group_IT_number 1
_space_group_name_Hall 'P 1'
loop_
_atom_site_label
_atom_site_type_symbol
_atom_site_fract_x
_atom_site_fract_y
_atom_site_fract_z
Tb1 Tb 0.0000 0.0000 0.0000
Ho1 Ho 0.7522 0.7522 0.7433
Ho2 Ho 0.2478 0.2478 0.2567
Sc1 Sc 0.5000 0.5000 0.5000
Rh1 Rh 0.3781 0.3781 0.8657
Rh2 Rh 0.8727 0.8727 0.3819
Rh3 Rh 0.1273 0.1273 0.6181
Rh4 Rh 0.6219 0.6219 0.1343

=====

# PWAu2, relaxed, DFT GGA-PBE
# ΔE to the lowest computed polymorph: 178 meV/atom
# SG: Cmm2
# Total energy: -23.8 eV for the cell shown
# Calculated formation energy: 0.286 eV/atom
data_PWAu2
_cell_length_a 2.8115
_cell_length_b 2.8115
_cell_length_c 9.4752
_cell_angle_alpha 90.00
_cell_angle_beta 90.00
_cell_angle_gamma 108.92
_space_group_name_H-M_alt 'P 1'
_space_group_IT_number 1
_space_group_name_Hall 'P 1'
loop_
_atom_site_label
_atom_site_type_symbol
_atom_site_fract_x
_atom_site_fract_y
_atom_site_fract_z
P1 P 0.0000 0.0000 0.4560
W1 W 0.5000 0.5000 0.2665
Au1 Au 0.0000 0.0000 0.0170
Au2 Au 0.5000 0.5000 0.7605

=====

# SmAsF, relaxed, DFT GGA-PBE
# ΔE to the lowest computed polymorph: 165 meV/atom
# SG: P-6m2
# Total energy: -17.6 eV for the cell shown
# Raw formation energy: -2.131 eV per atom
data_SmAsF
_cell_length_a 4.3918
_cell_length_b 4.0109
_cell_length_c 4.0109
_cell_angle_alpha 120.00
_cell_angle_beta 90.00
_cell_angle_gamma 90.00
_space_group_name_H-M_alt 'P 1'
_space_group_IT_number 1
_space_group_name_Hall 'P 1'
loop_
_atom_site_label
_atom_site_type_symbol
_atom_site_fract_x
_atom_site_fract_y
_atom_site_fract_z
As1 As 0.6667 0.3333 0.6667
Sm1 Sm 0.1668 0.6667 0.3333
F1 F 0.1664 0.0000 0.0000

=====

# CePrTlPt, relaxed, DFT GGA-PBE
# SG: F-43m
# Total energy: -21.2 eV for the cell shown
# Calculated formation energy: -0.518 eV/atom
data_CePrTlPt
_cell_length_a 5.3184
_cell_length_b 5.3184
_cell_length_c 5.3184
_cell_angle_alpha 60.00
_cell_angle_beta 60.00
_cell_angle_gamma 60.00
_space_group_name_H-M_alt 'P 1'
_space_group_IT_number 1
_space_group_name_Hall 'P 1'
loop_
_atom_site_label
_atom_site_type_symbol
_atom_site_fract_x
_atom_site_fract_y
_atom_site_fract_z
Pr1 Pr 0.5000 0.5000 0.5000
Tl1 Tl 0.2500 0.2500 0.2500
Ce1 Ce 0.0000 0.0000 0.0000
Pt1 Pt 0.7500 0.7500 0.7500

=====

# Sn4SeCl6, relaxed, DFT GGA-PBE
# SG: P4_2/nmc
# Total energy: -79.5 eV for the cell shown
# Raw formation energy: -0.836 eV per atom
data_Sn4SeCl6
_cell_length_a 6.8870
_cell_length_b 9.8643
_cell_length_c 9.8643
_cell_angle_alpha 90.00
_cell_angle_beta 90.00
_cell_angle_gamma 90.00
_space_group_name_H-M_alt 'P 1'
_space_group_IT_number 1
_space_group_name_Hall 'P 1'
loop_
_atom_site_label
_atom_site_type_symbol
_atom_site_fract_x
_atom_site_fract_y
_atom_site_fract_z
Sn1 Sn 0.2825 0.0000 0.2548
Sn2 Sn 0.7825 0.7548 0.5000
Sn3 Sn 0.7825 0.2452 0.5000
Sn4 Sn 0.2825 0.0000 0.7452
Sn5 Sn 0.2175 0.5000 0.7548
Sn6 Sn 0.7175 0.2548 0.0000
Sn7 Sn 0.7175 0.7452 0.0000
Sn8 Sn 0.2175 0.5000 0.2452
Se1 Se 0.0000 0.5000 0.5000
Se2 Se 0.5000 0.0000 0.0000
Cl1 Cl 0.5000 0.6981 0.3019
Cl2 Cl 0.5000 0.3019 0.3019
Cl3 Cl 0.0477 0.0000 0.5000
Cl4 Cl 0.5477 0.0000 0.5000
Cl5 Cl 0.5000 0.3019 0.6981
Cl6 Cl 0.5000 0.6981 0.6981
Cl7 Cl 0.0000 0.8019 0.8019
Cl8 Cl 0.0000 0.1981 0.8019
Cl9 Cl 0.9523 0.5000 0.0000
Cl10 Cl 0.4523 0.5000 0.0000
Cl11 Cl 0.0000 0.8019 0.1981
Cl12 Cl 0.0000 0.1981 0.1981

=====

# Li2Cd3Hg4, relaxed, DFT GGA-PBE
# ΔE to the lowest computed polymorph: 28 meV/atom
# SG: C2/m
# Total energy: -9.1 eV for the cell shown
# Calculated formation energy: -0.142 eV/atom
data_Li2Cd3Hg4
_cell_length_a 5.2144
_cell_length_b 5.5082
_cell_length_c 9.0896
_cell_angle_alpha 118.05
_cell_angle_beta 89.99
_cell_angle_gamma 118.26
_space_group_name_H-M_alt 'P 1'
_space_group_IT_number 1
_space_group_name_Hall 'P 1'
loop_
_atom_site_label
_atom_site_type_symbol
_atom_site_fract_x
_atom_site_fract_y
_atom_site_fract_z
Li1 Li 0.6525 0.3047 0.3195
Li2 Li 0.3475 0.6953 0.6805
Cd1 Cd 0.6606 0.3215 0.6671
Cd2 Cd 0.0000 0.0000 0.0000
Cd3 Cd 0.3394 0.6785 0.3329
Hg1 Hg 0.6764 0.3529 0.0218
Hg2 Hg 0.3236 0.6471 0.9782
Hg3 Hg 0.9621 0.9242 0.6412
Hg4 Hg 0.0379 0.0758 0.3588

=====

# Cd2HgSe3, relaxed, DFT GGA-PBE
# SG: Cc
# Total energy: -31.0 eV for the cell shown
# Raw formation energy: -0.486 eV per atom
data_Cd2HgSe3
_cell_length_a 7.6165
_cell_length_b 7.6165
_cell_length_c 7.6172
_cell_angle_alpha 99.61
_cell_angle_beta 99.61
_cell_angle_gamma 120.00
_space_group_name_H-M_alt 'P 1'
_space_group_IT_number 1
_space_group_name_Hall 'P 1'
loop_
_atom_site_label
_atom_site_type_symbol
_atom_site_fract_x
_atom_site_fract_y
_atom_site_fract_z
Cd1 Cd 0.5953 0.4298 0.0078
Cd2 Cd 0.7617 0.2620 0.5076
Cd3 Cd 0.4298 0.5953 0.5078
Cd4 Cd 0.2620 0.7617 0.0076
Hg1 Hg 0.0966 0.9275 0.5078
Hg2 Hg 0.9275 0.0966 0.0078
Se1 Se 0.0545 0.2227 0.3851
Se2 Se 0.2227 0.0545 0.8851
Se3 Se 0.8860 0.3900 0.8815
Se4 Se 0.3900 0.8860 0.3815
Se5 Se 0.5509 0.7181 0.8815
Se6 Se 0.7181 0.5509 0.3815

=====

Number 1: total moment 0.0 μB/f.u.. Number 2: total moment 0.0 μB/f.u.. Number 3: total moment 0.0 μB/f.u.. Number 4: total moment 0.0 μB/f.u.. Number 5: total moment 0.8 μB/f.u.. Number 6: total moment 0.0 μB/f.u.. Number 7: total moment 0.0 μB/f.u.. Number 8: total moment 0.0 μB/f.u..